1.
Material: ZrTeRu2
Method: DFT, GGA-PBE
State: relaxed

Lattice parameters (Å, degrees): 4.681 4.681 5.123 78.40 78.40 41.22
Fractional coordinates of all 4 atoms:
Zr1 0.250 0.250 0.250
Te1 0.750 0.750 0.750
Ru1 0.504 0.504 0.498
Ru2 0.996 0.996 0.002

Calculated values
SG: C2/m
Crystal system: monoclinic
Uncorrected formation energy: -0.0660 eV per atom
Calculated total energy: -7.63 eV/atom

***

2.
Material: Zr2TeRu
Method: DFT, GGA-PBE
State: relaxed

Lattice parameters (Å, degrees): 4.293 3.607 5.643 71.39 90.00 90.00
Fractional coordinates of all 4 atoms:
Zr1 0.500 0.272 0.332
Zr2 0.000 0.962 0.951
Ru1 0.000 0.718 0.438
Te1 0.500 0.549 0.778

Calculated values
SG: Amm2
Crystal system: orthorhombic
Uncorrected formation energy: -0.4714 eV per atom
Calculated total energy: -7.85 eV/atom

***

3.
Material: ZrTeRu2
Method: DFT, GGA-PBE
State: relaxed

Lattice parameters (Å, degrees): 4.308 3.116 5.560 77.32 90.00 90.00
Fractional coordinates of all 4 atoms:
Ru1 0.000 0.131 0.002
Ru2 0.000 0.369 0.498
Te1 0.500 0.250 0.250
Zr1 0.500 0.750 0.750

Calculated values
SG: P2/m
Crystal system: monoclinic
Uncorrected formation energy: 0.0285 eV per atom
Calculated total energy: -7.53 eV/atom

***

4.
Material: Zr3TeRu
Method: DFT, GGA-PBE
State: relaxed

Lattice parameters (Å, degrees): 5.036 5.036 5.036 90.00 90.00 90.00
Fractional coordinates of all 5 atoms:
Ru1 0.000 0.000 0.000
Zr1 0.500 0.000 0.000
Zr2 0.000 0.000 0.500
Zr3 0.000 0.500 0.000
Te1 0.500 0.500 0.500

Calculated values
SG: Pm-3m
Crystal system: cubic
Energy above the most stable polymorph in this dataset: 0.0 meV per atom
Uncorrected formation energy: 0.0408 eV per atom
Calculated total energy: -7.57 eV/atom

***

5.
Material: Zr2TeRu
Method: DFT, GGA-PBE
State: relaxed

Lattice parameters (Å, degrees): 5.685 5.685 5.685 138.64 138.64 59.93
Fractional coordinates of all 4 atoms:
Ru1 0.500 0.500 0.000
Zr1 0.250 0.750 0.500
Zr2 0.000 0.000 0.000
Te1 0.750 0.250 0.500

Calculated values
SG: I-4m2
Crystal system: tetragonal
Uncorrected formation energy: -0.3760 eV per atom
Calculated total energy: -7.75 eV/atom

***

6.
Material: ZrTeRu2
Method: DFT, GGA-PBE
State: relaxed

Lattice parameters (Å, degrees): 4.825 4.825 4.825 127.16 127.16 77.99
Fractional coordinates of all 4 atoms:
Zr1 0.750 0.250 0.500
Te1 0.250 0.750 0.500
Ru1 0.000 0.000 0.000
Ru2 0.500 0.500 0.000

Calculated values
SG: I4/mmm
Crystal system: tetragonal
Uncorrected formation energy: -0.2190 eV per atom
Calculated total energy: -7.78 eV/atom

***

7.
Material: Zr2TeRu
Method: DFT, GGA-PBE
State: relaxed

Lattice parameters (Å, degrees): 4.813 4.813 4.813 60.00 60.00 60.00
Each line ends with the local moment (μB).
Fractional coordinates of all 4 atoms:
Te1 0.250 0.250 0.250  0.00
Zr1 0.000 0.000 0.000  0.80
Zr2 0.750 0.750 0.750  0.33
Ru1 0.500 0.500 0.500  0.23

Calculated values
SG: F-43m
Crystal system: cubic
Uncorrected formation energy: -0.0025 eV per atom
Calculated total energy: -7.38 eV/atom

***

8.
Material: ZrTeRu2
Method: DFT, GGA-PBE
State: relaxed

Lattice parameters (Å, degrees): 3.185 3.185 7.146 90.00 90.00 90.00
Fractional coordinates of all 4 atoms:
Zr1 0.500 0.500 0.780
Te1 0.000 0.000 0.467
Ru1 0.000 0.000 0.008
Ru2 0.500 0.500 0.246

Calculated values
SG: P4mm
Crystal system: tetragonal
Uncorrected formation energy: 0.0581 eV per atom
Calculated total energy: -7.50 eV/atom

***

| no. | magnetization (Bohr magnetons per cell) |
| --- | --- |
| 1 | 0.00 |
| 2 | 0.00 |
| 3 | 0.00 |
| 4 | 0.00 |
| 5 | 0.00 |
| 6 | 0.00 |
| 7 | 1.86 |
| 8 | 0.00 |